[1]
# Th2ReBr

A relaxed Th2ReBr crystal (PBE, Alexandria).

## Properties
space group = No. 166
calculated density = 10.07 g/cm3
VASP energy = -7.76 eV per atom
Fermi-level density of states = 1.07 states/eV per cell
formation energy (no corrections) = -518 meV/atom

Cell: 8.2474 8.2474 8.2474 Å, 29.50 29.50 29.50°
Closest atoms and distances in Å follow each position.
Sites, in units of the cell vectors:
Th 0.2285 0.2285 0.2285  3 Re 2.83
Th 0.7715 0.7715 0.7715  3 Re 2.83
Re 0.5000 0.5000 0.5000  6 Th 2.83
Br 0.0000 0.0000 0.0000  6 Th 3.47

=====

[2]
# Th3ReBr3

A relaxed Th3ReBr3 crystal (PBE, Alexandria).

## Properties
space group = No. 11
calculated density = 7.97 g/cm3
VASP energy = -6.57 eV per atom
Fermi-level density of states = 12.64 states/eV per cell
formation energy (no corrections) = -897 meV/atom

Cell: 9.3210 4.0657 12.3557 Å, 90.00 93.29 90.00°
Closest atoms and distances in Å follow each position.
Sites, in units of the cell vectors:
Th 0.0830 0.2500 0.3874  3 Re 2.83-2.97
Th 0.1352 0.2500 0.8508  1 Re 2.76
Th 0.3292 0.7500 0.6270  2 Re 2.76
Th 0.6708 0.2500 0.3730  2 Re 2.76
Th 0.8648 0.7500 0.1492  1 Re 2.76
Th 0.9170 0.7500 0.6126  3 Re 2.83-2.97
Re 0.1290 0.2500 0.6274  6 Th 2.76-2.97
Re 0.8710 0.7500 0.3726  6 Th 2.76-2.97
Br 0.1146 0.2500 0.1160  4 Th 3.14-3.38
Br 0.3798 0.7500 0.3766  5 Th 3.16-3.44
Br 0.3851 0.7500 0.8763  3 Th 3.09
Br 0.6149 0.2500 0.1237  3 Th 3.09
Br 0.6202 0.2500 0.6234  5 Th 3.16-3.44
Br 0.8854 0.7500 0.8840  4 Th 3.14-3.38

=====

[3]
# Th4Re2Br3

A relaxed Th4Re2Br3 crystal (PBE, Alexandria).

## Properties
space group = No. 164
calculated density = 9.04 g/cm3
VASP energy = -7.32 eV per atom
Fermi-level density of states = 5.21 states/eV per cell
formation energy (no corrections) = -694 meV/atom

Cell: 4.1733 4.1733 18.7619 Å, 90.00 90.00 120.00°
Closest atoms and distances in Å follow each position.
Sites, in units of the cell vectors:
Th 0.0000 0.0000 0.2056  3 Re 2.88, 3 Br 3.16
Th 0.0000 0.0000 0.7944  3 Re 2.88, 3 Br 3.16
Th 0.3333 0.6667 0.3675  3 Re 2.81
Th 0.6667 0.3333 0.6325  3 Re 2.81
Re 0.3333 0.6667 0.7100  6 Th 2.81-2.88
Re 0.6667 0.3333 0.2900  6 Th 2.81-2.88
Br 0.0000 0.0000 0.5000  6 Th 3.46
Br 0.3333 0.6667 0.0964  3 Th 3.16
Br 0.6667 0.3333 0.9036  3 Th 3.16

=====

[4]
# Th4ReBr5

A relaxed Th4ReBr5 crystal (PBE, Alexandria).

## Properties
space group = No. 12
calculated density = 7.86 g/cm3
VASP energy = -6.15 eV per atom
Fermi-level density of states = 5.77 states/eV per cell
formation energy (no corrections) = -1096 meV/atom

Cell: 9.2302 9.2302 9.1279 Å, 98.39 98.39 24.58°
Closest atoms and distances in Å follow each position.
Sites, in units of the cell vectors:
Th 0.0021 0.0021 0.2132  2 Re 2.76, 2 Br 3.00-3.06
Th 0.3332 0.3332 0.9562  1 Re 2.97, 5 Br 3.11-3.19
Th 0.6668 0.6668 0.0438  1 Re 2.97, 5 Br 3.11-3.19
Th 0.9979 0.9979 0.7868  2 Re 2.76, 2 Br 3.00-3.06
Re 0.5000 0.5000 0.0000  6 Th 2.76-2.97
Br 0.1669 0.1669 0.7771  4 Th 3.06-3.19
Br 0.1689 0.1689 0.3089  3 Th 3.00-3.11
Br 0.5000 0.5000 0.5000  4 Th 3.28
Br 0.8311 0.8311 0.6911  3 Th 3.00-3.11
Br 0.8331 0.8331 0.2229  4 Th 3.06-3.19

=====

[5]
# TiReBr2

A relaxed TiReBr2 crystal (PBE, Alexandria).

## Properties
space group = No. 166
calculated density = 8.89 g/cm3
VASP energy = -5.56 eV per atom
Fermi-level density of states = 4.42 states/eV per cell
formation energy (no corrections) = 367 meV/atom

Cell: 8.8448 8.8448 8.8448 Å, 20.40 20.40 20.40°
Closest atoms and distances in Å follow each position.
Sites, in units of the cell vectors:
Ti 0.0000 0.0000 0.0000  6 Br 2.59
Re 0.5000 0.5000 0.5000  2 Br 2.48
Br 0.4046 0.4046 0.4046  1 Re 2.48, 3 Ti 2.59
Br 0.5954 0.5954 0.5954  1 Re 2.48, 3 Ti 2.59

=====

[6]
# TiRe3Br

A relaxed TiRe3Br crystal (PBE, Alexandria).

## Properties
space group = No. 221
calculated density = 12.29 g/cm3
VASP energy = -7.37 eV per atom
Fermi-level density of states = 8.24 states/eV per cell
formation energy (no corrections) = 2015 meV/atom

Cell: 4.5269 4.5269 4.5269 Å, 90.00 90.00 90.00°
Closest atoms and distances in Å follow each position.
Sites, in units of the cell vectors:
Ti 0.0000 0.0000 0.0000  12 Re 3.20
Re 0.0000 0.5000 0.5000  2 Br 2.26
Re 0.5000 0.0000 0.5000  2 Br 2.26
Re 0.5000 0.5000 0.0000  2 Br 2.26
Br 0.5000 0.5000 0.5000  6 Re 2.26